[1]
Density functional theory data (PBE) for an optimized crystal structure of BaSc2US8.

Results
E_tot (eV/atom): -6.27
Calculated volume (Å³/f.u.): 319
Formation energy without anion corrections (eV per atom): -1.36
Crystal system: triclinic

Cell lengths 6.293, 5.872, 8.646 Å; angles 89.90, 89.93, 89.15 degrees
Sites, in units of the cell vectors:
S1 0.160 0.750 0.793
S2 0.660 0.740 0.000
S3 0.340 0.260 0.000
S4 0.841 0.251 0.793
S5 0.454 0.328 0.500
S6 0.546 0.672 0.500
S7 0.159 0.749 0.207
S8 0.840 0.250 0.207
U1 0.000 0.000 0.000
Sc1 0.500 0.500 0.209
Sc2 0.500 0.500 0.791
Ba1 0.000 0.000 0.500

[2]
Density functional theory data (PBE) for an optimized crystal structure of FeHgCl5.

Results
E_tot (eV/atom): -3.16
Calculated volume (Å³/f.u.): 243
Formation energy without anion corrections (eV per atom): -0.59
Crystal system: orthorhombic

Cell lengths 6.466, 7.488, 7.052 Å; angles 122.07, 117.29, 90.00 degrees
Sites, in units of the cell vectors:
Cl1 0.468 0.236 0.000
Cl2 0.468 0.764 0.000
Cl3 0.940 0.500 0.000
Cl4 0.226 0.229 0.457
Cl5 0.769 0.771 0.543
Hg1 0.053 0.000 0.000
Fe1 0.607 0.500 0.000

[3]
Density functional theory data (PBE) for an optimized crystal structure of LaDy6Mg.

Results
Energy relative to the elements (eV per atom): 0.04
E_tot (eV/atom): -4.23
Calculated volume (Å³/f.u.): 249
E above lowest polymorph (eV/f.u.): 0.00
DOS(E_F) (states/eV per cell): 12.114
Crystal system: monoclinic

Cell lengths 5.040, 6.126, 9.297 Å; angles 76.55, 74.27, 65.71 degrees
Sites, in units of the cell vectors:
Dy1 0.249 0.871 0.631
Dy2 0.244 0.390 0.122
Dy3 0.756 0.610 0.878
Dy4 0.504 0.240 0.753
Dy5 0.751 0.129 0.369
Dy6 0.496 0.760 0.247
La1 0.000 0.500 0.500
Mg1 0.000 0.000 0.000

[4]
Density functional theory data (PBE) for an optimized crystal structure of Tb4N3F.

Results
E_tot (eV/atom): -7.56
Calculated volume (Å³/f.u.): 121
Formation energy without anion corrections (eV per atom): -1.89
DOS(E_F) (states/eV per cell): 2.034
Crystal system: orthorhombic

Cell lengths 3.485, 6.065, 6.065 Å; angles 71.03, 89.99, 89.99 degrees
Sites, in units of the cell vectors:
Tb1 0.500 0.242 0.742
Tb2 0.000 0.231 0.269
Tb3 0.000 0.769 0.731
Tb4 0.500 0.758 0.258
N1 0.000 0.500 0.500
N2 0.500 0.000 0.500
N3 0.000 0.000 0.000
F1 0.500 0.500 0.000

[5]
Density functional theory data (PBE) for an optimized crystal structure of TbGa3Rh.

Results
Energy relative to the elements (eV per atom): -0.72
E_tot (eV/atom): -4.93
Calculated volume (Å³/f.u.): 89
E above lowest polymorph (eV/f.u.): 0.00
DOS(E_F) (states/eV per cell): 7.731
Crystal system: cubic

Cell lengths 6.446, 6.446, 6.446 Å; angles 90.00, 90.00, 90.00 degrees
Sites, in units of the cell vectors:
Rh1 0.000 0.000 0.500
Rh2 0.000 0.500 0.000
Rh3 0.500 0.000 0.000
Ga1 0.211 0.789 0.211
Ga2 0.211 0.789 0.789
Ga3 0.789 0.211 0.789
Ga4 0.500 0.500 0.500
Ga5 0.789 0.789 0.211
Ga6 0.211 0.211 0.211
Ga7 0.211 0.211 0.789
Ga8 0.789 0.789 0.789
Ga9 0.789 0.211 0.211
Tb1 0.500 0.500 0.000
Tb2 0.000 0.500 0.500
Tb3 0.500 0.000 0.500

[6]
Density functional theory data (PBE) for an optimized crystal structure of Er3MnAg3S8.

Results
E_tot (eV/atom): -5.38
Calculated volume (Å³/f.u.): 330
Formation energy without anion corrections (eV per atom): -1.08
DOS(E_F) (states/eV per cell): 0.863
Crystal system: monoclinic

Cell lengths 7.719, 7.718, 7.819 Å; angles 119.90, 90.00, 120.00 degrees
Sites, in units of the cell vectors:
S1 0.745 0.491 0.734
S2 0.779 0.557 0.283
S3 0.779 0.002 0.283
S4 0.776 0.998 0.717
S5 0.221 0.998 0.717
S6 0.221 0.443 0.717
S7 0.224 0.002 0.283
S8 0.255 0.509 0.266
Er1 0.500 0.500 0.500
Er2 0.000 0.500 0.500
Er3 0.500 0.000 0.500
Ag1 0.000 0.000 0.000
Ag2 0.500 0.500 0.000
Ag3 0.000 0.500 0.000
Mn1 0.000 0.000 0.500

[7]
Density functional theory data (PBE) for an optimized crystal structure of MgPAu2.

Results
Energy relative to the elements (eV per atom): -0.16
E_tot (eV/atom): -3.55
Calculated volume (Å³/f.u.): 71
E above lowest polymorph (eV/f.u.): 0.00
DOS(E_F) (states/eV per cell): 1.585
Crystal system: monoclinic

Cell lengths 3.889, 3.313, 5.778 Å; angles 73.19, 90.00, 90.00 degrees
Sites, in units of the cell vectors:
Au1 0.000 0.812 0.002
Au2 0.500 0.184 0.258
Mg1 0.000 0.551 0.523
P1 0.500 0.953 0.717

[8]
Density functional theory data (PBE) for an optimized crystal structure of K2Tl5In5.

Results
Energy relative to the elements (eV per atom): -0.03
E_tot (eV/atom): -2.34
Calculated volume (Å³/f.u.): 395
DOS(E_F) (states/eV per cell): 7.205
Crystal system: orthorhombic

Cell lengths 5.544, 6.348, 11.236 Å; angles 90.00, 90.00, 90.00 degrees
Sites, in units of the cell vectors:
In1 0.500 0.247 0.259
In2 0.500 0.753 0.259
In3 0.500 0.753 0.741
In4 0.500 0.500 0.500
In5 0.500 0.247 0.741
K1 0.000 0.000 0.500
K2 0.000 0.500 0.000
Tl1 0.000 0.000 0.173
Tl2 0.500 0.000 0.000
Tl3 0.000 0.500 0.668
Tl4 0.000 0.500 0.332
Tl5 0.000 0.000 0.827

[9]
Density functional theory data (PBE) for an optimized crystal structure of ZnNiBr.

Results
E_tot (eV/atom): -2.67
Calculated volume (Å³/f.u.): 55
E above lowest polymorph (eV/f.u.): 1.42
Formation energy without anion corrections (eV per atom): 0.24
DOS(E_F) (states/eV per cell): 1.367
Crystal system: cubic

Cell lengths 4.275, 4.275, 4.275 Å; angles 60.00, 60.00, 60.00 degrees
Sites, in units of the cell vectors:
Zn1 0.000 0.000 0.000
Br1 0.500 0.500 0.500
Ni1 0.750 0.750 0.750

[10]
Density functional theory data (PBE) for an optimized crystal structure of Na3Pu2ZrS6.

Results
E_tot (eV/atom): -7.03
Calculated volume (Å³/f.u.): 269
Formation energy without anion corrections (eV per atom): -1.54
DOS(E_F) (states/eV per cell): 18.093
Crystal system: monoclinic

Cell lengths 6.827, 6.827, 7.050 Å; angles 99.31, 99.31, 120.02 degrees
Sites, in units of the cell vectors:
S1 0.243 0.243 0.776
S2 0.075 0.394 0.226
S3 0.757 0.757 0.224
S4 0.606 0.925 0.774
S5 0.925 0.606 0.774
S6 0.394 0.075 0.226
Pu1 0.333 0.667 0.000
Pu2 0.667 0.333 0.000
Na1 0.168 0.832 0.500
Na2 0.832 0.168 0.500
Na3 0.500 0.500 0.500
Zr1 0.000 0.000 0.000

[11]
Density functional theory data (PBE) for an optimized crystal structure of Cs2PuGaSe4.

Results
E_tot (eV/atom): -5.19
Calculated volume (Å³/f.u.): 328
Formation energy without anion corrections (eV per atom): -1.06
DOS(E_F) (states/eV per cell): 19.911
Crystal system: orthorhombic

Cell lengths 6.468, 8.239, 13.776 Å; angles 84.71, 76.42, 66.89 degrees
Sites, in units of the cell vectors:
Se1 0.512 0.303 0.605
Se2 0.866 0.803 0.895
Se3 0.419 0.697 0.395
Se4 0.185 0.303 0.395
Se5 0.331 0.803 0.105
Se6 0.884 0.697 0.605
Se7 0.565 0.197 0.105
Se8 0.238 0.197 0.895
Pu1 0.750 0.500 0.500
Pu2 0.000 0.000 0.000
Cs1 0.821 0.000 0.359
Cs2 0.571 0.500 0.859
Cs3 0.179 0.000 0.641
Cs4 0.929 0.500 0.141
Ga1 0.250 0.500 0.500
Ga2 0.500 0.000 0.000

[12]
Density functional theory data (PBE) for an optimized crystal structure of CrTcAu.

Results
Energy relative to the elements (eV per atom): 0.24
E_tot (eV/atom): -7.51
Calculated volume (Å³/f.u.): 46
E above lowest polymorph (eV/f.u.): 0.00
DOS(E_F) (states/eV per cell): 2.017
Crystal system: tetragonal

Cell lengths 5.792, 5.792, 5.792 Å; angles 150.94, 150.94, 41.56 degrees
Sites, in units of the cell vectors:
Cr1 0.315 0.315 0.000
Au1 0.994 0.994 0.000
Tc1 0.690 0.690 0.000